# ThGe2Br8

An optimized crystal structure of ThGe2Br8 (PBE-GGA, Alexandria).

## Properties
Total moment, μB/f.u.: 0.000
Formation energy from raw total energies, eV per atom: -1.05
VASP energy, eV per atom: -3.780

abc: 8.0926 8.2112 8.0036
angles: 89.91 90.00 119.52
Fractional coordinates of all 11 atoms:
1 Br 0.8301 0.1322 0.2441
2 Ge 0.1337 0.2675 0.4570
3 Br 0.6979 0.8678 0.7559
4 Br 0.8242 0.6485 0.1565
5 Br 0.3021 0.1322 0.2441
6 Br 0.7067 0.4135 0.6280
7 Br 0.1699 0.8678 0.7559
8 Ge 0.8663 0.7325 0.5430
9 Th 0.0000 0.0000 0.0000
10 Br 0.1758 0.3515 0.8435
11 Br 0.2933 0.5865 0.3720